## Sm4Dy8Ho3 (GGA-PBE)

Data for an optimized crystal structure of Sm4Dy8Ho3.

Results
V	491	Å³/f.u.
relative energy among the computed polymorphs	0	meV/atom

CIF file:
```
data_Sm4Dy8Ho3
_chemical_formula_sum 'Sm12 Dy24 Ho9'
_cell_length_a 6.9366
_cell_length_b 6.9366
_cell_length_c 35.3467
_cell_angle_alpha 90.00
_cell_angle_beta 90.00
_cell_angle_gamma 120.00
_space_group_name_H-M_alt 'R -3 m'
_space_group_IT_number 166
_space_group_name_Hall '-R 3 2"'
loop_
_atom_site_label
_atom_site_type_symbol
_atom_site_fract_x
_atom_site_fract_y
_atom_site_fract_z
Sm1 Sm 0.0000 0.0000 0.0000
Sm2 Sm 0.0000 0.0000 0.1635
Sm3 Sm 0.0000 0.0000 0.5000
Dy1 Dy 0.0000 0.0000 0.2551
Dy2 Dy 0.0018 0.5009 0.2510
Ho1 Ho 0.0000 0.5000 0.0000
```